CdAs2W GGA-PBE optimized geometry; E_form = 320 meV per atom; total DFT energy (no corrections) = -21.89 eV per formula unit; SG = No. 12
1.0
4.483 -1.579 0.000
4.483 1.579 0.000
-0.960 0.000 5.378
Cd As W
1 2 1
direct
0.000 0.000 0.000
0.221 0.221 0.695
0.779 0.779 0.305
0.500 0.500 0.500

CdAs2W GGA-PBE optimized geometry; E_form = 125 meV per atom; total DFT energy (no corrections) = -22.67 eV per formula unit; SG = No. 10
1.0
3.171 0.000 0.000
0.000 3.229 0.000
-1.260 0.000 7.553
Cd As W
1 2 1
direct
0.000 0.000 0.000
0.428 0.500 0.308
0.572 0.500 0.692
0.000 0.000 0.500

CdAs2W GGA-PBE optimized geometry; E_form = 273 meV per atom; total DFT energy (no corrections) = -22.08 eV per formula unit; SG = No. 65
1.0
1.676 -2.397 0.000
1.676 2.397 0.000
0.000 0.000 10.436
Cd As W
1 2 1
direct
0.000 0.000 0.000
0.500 0.500 0.309
0.500 0.500 0.691
0.000 0.000 0.500

CdAs2W GGA-PBE optimized geometry; E_form = 122 meV per atom; total DFT energy (no corrections) = -22.68 eV per formula unit; SG = No. 123
1.0
3.221 0.000 0.000
0.000 3.221 0.000
0.000 0.000 7.251
Cd As W
1 2 1
direct
0.000 0.000 0.000
0.500 0.500 0.302
0.500 0.500 0.698
0.000 0.000 0.500

Q: Among the records above, which one has the lowest total DFT energy (no corrections)?
A: number 4